(1)
Density functional theory data (PBE) for La2Dy5 after structural relaxation.

Lattice parameters (Å, degrees): 11.3721 5.0928 8.0926 90.00 98.17 90.00
Space group C2/m (No. 12)
Inequivalent atoms, fractional coordinates:
La  0.0720  0.0000  0.2168 (multiplicity 4)
Dy  0.0000  0.5000  0.5000 (multiplicity 2)
Dy  0.1442  0.5000  0.9295 (multiplicity 4)
Dy  0.2134  0.0000  0.6432 (multiplicity 4)

(2)
Density functional theory data (PBE) for Cs3ZnHg after structural relaxation.

## Properties
- Relative energy among the computed polymorphs: 0.0 meV/atom

Lattice parameters (Å, degrees): 7.1960 7.1960 7.1960 90.00 90.00 90.00
Space group Pm-3m (No. 221)
Inequivalent atoms, fractional coordinates:
Cs  0.0000  0.0000  0.5000 (multiplicity 3)
Zn  0.0000  0.0000  0.0000 (multiplicity 1)
Hg  0.5000  0.5000  0.5000 (multiplicity 1)

(3)
Density functional theory data (PBE) for Dy5CdRu after structural relaxation.

Lattice parameters (Å, degrees): 9.2371 7.4055 11.8218 90.00 106.28 90.00
Space group C2/c (No. 15)
Inequivalent atoms, fractional coordinates:
Dy  0.0000  0.0059  0.2500 (multiplicity 4)
Dy  0.1241  0.3307  0.0651 (multiplicity 8)
Dy  0.2478  0.1663  0.6247 (multiplicity 8)
Cd  0.0000  0.4048  0.7500 (multiplicity 4)
Ru  0.0000  0.0000  0.0000 (multiplicity 4)

| no. | mass density (kg/m³) | energy of formation (eV per atom) | VASP energy (eV/atom) |
| --- | --- | --- | --- |
| 1 | 7805 | 0.03 | -4.6634 |
| 2 | 2962 | 0.11 | -0.7174 |
| 3 | 8779 | -0.13 | -4.8768 |